Record 1
Computed, not measured: a geometry-optimized HfIr3 structure at the PBE-GGA level of DFT.

abc: 2.880 8.992 4.861
angles: 90.00 90.00 90.00
Fractional positions:
Hf: 0.000 0.000 0.000
Hf: 0.500 0.500 0.500
Ir: 0.000 0.247 0.667
Ir: 0.000 0.500 0.000
Ir: 0.000 0.753 0.667
Ir: 0.500 0.000 0.500
Ir: 0.500 0.253 0.167
Ir: 0.500 0.747 0.167

Properties
Formation energy from the elements (eV per atom): -0.513
Space group: Imm2 (44)

Record 2
Computed, not measured: a geometry-optimized FePdS2 structure at the PBE-GGA level of DFT.

abc: 5.275 5.275 10.025
angles: 90.00 90.00 90.00
Fractional positions:
Fe: 0.000 0.000 0.000
Fe: 0.000 0.500 0.250
Fe: 0.500 0.000 0.750
Fe: 0.500 0.500 0.500
Pd: 0.000 0.000 0.500
Pd: 0.000 0.500 0.750
Pd: 0.500 0.000 0.250
Pd: 0.500 0.500 0.000
S: 0.207 0.250 0.125
S: 0.250 0.707 0.375
S: 0.250 0.793 0.875
S: 0.293 0.250 0.625
S: 0.707 0.750 0.625
S: 0.750 0.207 0.875
S: 0.750 0.293 0.375
S: 0.793 0.750 0.125

Properties
Formation energy (no corrections) (eV per formula unit): -1.02
Space group: I-42d (122)

Record 3
Computed, not measured: a geometry-optimized Hf3Al2Au4 structure at the PBE-GGA level of DFT.

abc: 5.523 5.523 8.467
angles: 119.63 119.63 49.27
Fractional positions:
Hf: 0.000 0.000 0.000
Hf: 0.337 0.337 0.327
Hf: 0.663 0.663 0.673
Al: 0.386 0.386 0.715
Al: 0.614 0.614 0.285
Au: 0.069 0.069 0.394
Au: 0.293 0.293 0.945
Au: 0.707 0.707 0.055
Au: 0.931 0.931 0.606

Properties
Formation energy from the elements (eV per atom): -0.528
Space group: C2/m (12)

DFT total energy values (in eV for the cell shown) by entry order: -77.18, -91.72, -55.21.